1.
Compound: Sm3Y4Tm5
Source: Alexandria via LeMat-Bulk
Functional: PBE-GGA
Structure: optimized geometry

Cell lengths 5.890, 8.467, 9.604 Å; angles 105.40, 72.14, 69.65 degrees
Site moments in Bohr magnetons follow the coordinates.
Positions (direct):
Tm: 0.500 0.500 0.500  0.13
Sm: 0.526 0.684 0.265  0.00
Tm: 0.376 0.052 0.197  0.01
Tm: 0.213 0.459 0.115  0.01
Y: 0.170 0.039 0.621  0.00
Y: 0.830 0.961 0.379  0.00
Y: 0.859 0.223 0.060  0.00
Sm: 0.000 0.500 0.500  0.10
Tm: 0.624 0.948 0.803  0.01
Y: 0.141 0.777 0.940  0.00
Tm: 0.787 0.541 0.885  0.01
Sm: 0.474 0.316 0.735  0.00

## Properties
Energy   -59.53 eV for the cell shown
Space group   C2/m (12)
Energy of formation   0.24 eV per atom
V   32.374 Å³ per atom

***

2.
Compound: SmEr2Ir
Source: Alexandria via LeMat-Bulk
Functional: PBE-GGA
Structure: optimized geometry

Cell lengths 3.456, 3.456, 8.820 Å; angles 90.00, 90.00, 90.00 degrees
Positions (direct):
Ir: 0.500 0.500 0.000
Er: 0.000 0.000 0.184
Sm: 0.500 0.500 0.500
Er: 0.000 0.000 0.816

## Properties
Energy   -24.50 eV for the cell shown
Space group   P4/mmm (123)
Energy of formation   -0.45 eV per atom
V   26.342 Å³ per atom

***

3.
Compound: TbPrInGa
Source: Alexandria via LeMat-Bulk
Functional: PBE-GGA
Structure: optimized geometry

Cell lengths 3.724, 3.724, 7.602 Å; angles 90.00, 90.00, 90.00 degrees
Positions (direct):
In: 0.000 0.000 0.844
Tb: 0.500 0.500 0.593
Ga: 0.000 0.000 0.371
Pr: 0.500 0.500 0.120

## Properties
Energy   -17.27 eV for the cell shown
Space group   P4mm (99)
Energy of formation   -0.52 eV per atom
V   26.357 Å³ per atom

***

Ordered E above lowest polymorph results: 20.6; 12.1; 0.0; unit kJ/mol of atoms.